Record 1
# YMgTc2

A crystal of YMgTc2 relaxed with PBEsol (meta-GGA SCAN, the Alexandria database).

Properties
Fermi-level density of states ... 1.85 states/eV per cell
Energy of formation from the pure elements ... 156 meV per atom

abc: 3.466 3.466 6.174
angles: 90.00 90.00 90.00
Fractional coordinates of all 4 atoms:
Mg  0.500  0.500  0.500
Tc  0.000  0.000  0.684
Tc  0.000  0.000  0.316
Y  0.500  0.500  0.000



Record 2
# YMgTc

A crystal of YMgTc relaxed with PBEsol (meta-GGA SCAN, the Alexandria database).

Properties
Fermi-level density of states ... 1.61 states/eV per cell
Energy of formation from the pure elements ... 807 meV per atom

abc: 4.553 4.553 4.553
angles: 60.00 60.00 60.00
Last column: magnetic moment on the atom in μB.
Fractional coordinates of all 3 atoms:
Tc  0.000  0.000  0.000  1.52
Y  0.500  0.500  0.500  -0.26
Mg  0.750  0.750  0.750  -0.02



Record 3
# YMgTc2

A crystal of YMgTc2 relaxed with PBEsol (meta-GGA SCAN, the Alexandria database).

Properties
Fermi-level density of states ... 2.84 states/eV per cell
Energy of formation from the pure elements ... 114 meV per atom

abc: 3.148 4.165 5.936
angles: 90.00 104.12 90.00
Fractional coordinates of all 4 atoms:
Mg  0.581  0.500  0.796
Tc  0.118  0.000  0.026
Tc  0.363  0.500  0.207
Y  0.938  0.000  0.471



Record 4
# YMg2Tc

A crystal of YMg2Tc relaxed with PBEsol (meta-GGA SCAN, the Alexandria database).

Properties
Fermi-level density of states ... 1.02 states/eV per cell
Energy of formation from the pure elements ... 189 meV per atom
Energy relative to the lowest polymorph listed for this composition ... 115 meV per atom

abc: 4.819 4.819 4.817
angles: 120.01 120.01 90.00
Fractional coordinates of all 4 atoms:
Mg  0.750  0.250  0.500
Mg  0.000  0.000  0.000
Tc  0.500  0.500  0.000
Y  0.250  0.750  0.500



Record 5
# YMg2Tc

A crystal of YMg2Tc relaxed with PBEsol (meta-GGA SCAN, the Alexandria database).

Properties
Fermi-level density of states ... 3.13 states/eV per cell
Energy of formation from the pure elements ... 193 meV per atom
Energy relative to the lowest polymorph listed for this composition ... 118 meV per atom

abc: 3.762 4.357 4.882
angles: 90.00 90.00 90.00
Fractional coordinates of all 4 atoms:
Mg  0.000  0.000  0.000
Mg  0.500  0.500  0.000
Tc  0.500  0.000  0.500
Y  0.000  0.500  0.500



Record 6
# MgZn2Tc

A crystal of MgZn2Tc relaxed with PBEsol (meta-GGA SCAN, the Alexandria database).

Properties
Fermi-level density of states ... 1.34 states/eV per cell
Energy of formation from the pure elements ... -55 meV per atom
Energy relative to the lowest polymorph listed for this composition ... 0 meV per atom

abc: 3.513 4.046 4.046
angles: 90.00 90.00 90.00
Last column: magnetic moment on the atom in μB.
Fractional coordinates of all 4 atoms:
Tc  0.500  0.000  0.000  0.73
Mg  0.500  0.500  0.500  -0.01
Zn  0.000  0.500  0.000  -0.02
Zn  0.000  0.000  0.500  -0.02



Record 7
# MgZnTc

A crystal of MgZnTc relaxed with PBEsol (meta-GGA SCAN, the Alexandria database).

Properties
Fermi-level density of states ... 1.72 states/eV per cell
Energy of formation from the pure elements ... 121 meV per atom
Energy relative to the lowest polymorph listed for this composition ... 0 meV per atom

abc: 2.672 2.672 6.747
angles: 98.58 98.58 104.29
Fractional coordinates of all 3 atoms:
Zn  0.328  0.328  0.655
Mg  0.002  0.002  0.003
Tc  0.671  0.671  0.341



Record 8
# MgZnTc

A crystal of MgZnTc relaxed with PBEsol (meta-GGA SCAN, the Alexandria database).

Properties
Fermi-level density of states ... 1.79 states/eV per cell
Energy of formation from the pure elements ... 938 meV per atom
Energy relative to the lowest polymorph listed for this composition ... 817 meV per atom

abc: 4.215 4.215 4.215
angles: 60.00 60.00 60.00
Last column: magnetic moment on the atom in μB.
Fractional coordinates of all 3 atoms:
Mg  0.250  0.250  0.250  0.01
Zn  0.500  0.500  0.500  -0.06
Tc  0.000  0.000  0.000  2.22



Record 9
# MgZnTc

A crystal of MgZnTc relaxed with PBEsol (meta-GGA SCAN, the Alexandria database).

Properties
Fermi-level density of states ... 1.90 states/eV per cell
Energy of formation from the pure elements ... 145 meV per atom
Energy relative to the lowest polymorph listed for this composition ... 24 meV per atom

abc: 2.669 2.669 6.651
angles: 101.57 101.57 90.00
Fractional coordinates of all 3 atoms:
Mg  0.002  0.002  0.003
Zn  0.327  0.327  0.653
Tc  0.672  0.672  0.344



Record 10
# MgZn3Tc

A crystal of MgZn3Tc relaxed with PBEsol (meta-GGA SCAN, the Alexandria database).

Properties
Fermi-level density of states ... 2.68 states/eV per cell
Energy of formation from the pure elements ... 650 meV per atom

abc: 4.717 4.717 4.717
angles: 90.00 90.00 90.00
Fractional coordinates of all 5 atoms:
Zn  0.000  0.500  0.000
Zn  0.500  0.000  0.000
Zn  0.000  0.000  0.500
Mg  0.500  0.500  0.500
Tc  0.000  0.000  0.000



Record 11
# MgZn2Tc

A crystal of MgZn2Tc relaxed with PBEsol (meta-GGA SCAN, the Alexandria database).

Properties
Fermi-level density of states ... 3.58 states/eV per cell
Energy of formation from the pure elements ... 93 meV per atom
Energy relative to the lowest polymorph listed for this composition ... 148 meV per atom

abc: 4.348 4.348 4.348
angles: 60.00 60.00 60.00
Last column: magnetic moment on the atom in μB.
Fractional coordinates of all 4 atoms:
Mg  0.000  0.000  0.000  -0.01
Tc  0.500  0.500  0.500  0.76
Zn  0.250  0.250  0.250  -0.01
Zn  0.750  0.750  0.750  -0.01



Record 12
# Mg2ZrTc

A crystal of Mg2ZrTc relaxed with PBEsol (meta-GGA SCAN, the Alexandria database).

Properties
Fermi-level density of states ... 2.40 states/eV per cell
Energy of formation from the pure elements ... 71 meV per atom
Energy relative to the lowest polymorph listed for this composition ... 0 meV per atom

abc: 2.852 4.813 5.432
angles: 90.00 103.94 90.00
Fractional coordinates of all 4 atoms:
Zr  0.500  0.500  0.500
Mg  0.913  0.000  0.232
Mg  0.087  0.000  0.768
Tc  0.500  0.500  0.000



Record 13
# Mg2ZrTc

A crystal of Mg2ZrTc relaxed with PBEsol (meta-GGA SCAN, the Alexandria database).

Properties
Fermi-level density of states ... 2.51 states/eV per cell
Energy of formation from the pure elements ... 101 meV per atom
Energy relative to the lowest polymorph listed for this composition ... 29 meV per atom

abc: 2.796 4.594 5.598
angles: 90.00 90.00 90.00
Fractional coordinates of all 4 atoms:
Mg  0.000  0.000  0.234
Mg  0.000  0.000  0.766
Tc  0.500  0.500  0.000
Zr  0.500  0.500  0.500



Record 14
# MgZr2Tc

A crystal of MgZr2Tc relaxed with PBEsol (meta-GGA SCAN, the Alexandria database).

Properties
Fermi-level density of states ... 3.11 states/eV per cell
Energy of formation from the pure elements ... -252 meV per atom

abc: 3.311 3.311 7.081
angles: 90.00 90.00 90.00
Fractional coordinates of all 4 atoms:
Mg  0.500  0.500  0.000
Zr  0.000  0.000  0.717
Zr  0.000  0.000  0.283
Tc  0.500  0.500  0.500



Record 15
# MgZrTc4

A crystal of MgZrTc4 relaxed with PBEsol (meta-GGA SCAN, the Alexandria database).

Properties
Fermi-level density of states ... 3.80 states/eV per cell
Energy of formation from the pure elements ... -204 meV per atom

abc: 5.164 5.164 5.164
angles: 60.00 60.00 60.00
Fractional coordinates of all 6 atoms:
Tc  0.375  0.876  0.375
Tc  0.375  0.375  0.876
Tc  0.876  0.375  0.375
Tc  0.375  0.375  0.375
Mg  0.000  0.000  0.000
Zr  0.750  0.750  0.750



Record 16
# MgZrTc

A crystal of MgZrTc relaxed with PBEsol (meta-GGA SCAN, the Alexandria database).

Properties
Fermi-level density of states ... 3.85 states/eV per cell
Energy of formation from the pure elements ... 428 meV per atom
Energy relative to the lowest polymorph listed for this composition ... 0 meV per atom

abc: 4.439 4.439 4.439
angles: 60.00 60.00 60.00
Fractional coordinates of all 3 atoms:
Tc  0.250  0.250  0.250
Mg  0.500  0.500  0.500
Zr  0.000  0.000  0.000



Record 17
# MgTe2

A crystal of MgTe2 relaxed with PBEsol (meta-GGA SCAN, the Alexandria database).

Properties
Fermi-level density of states ... 3.16 states/eV per cell
Energy relative to the elements, uncorrected ... -11.39 kcal/mol of atoms

abc: 4.290 4.290 12.092
angles: 90.00 90.00 120.00
Fractional coordinates of all 6 atoms:
Mg  0.333  0.667  0.250
Mg  0.667  0.333  0.750
Te  0.000  0.000  0.379
Te  0.000  0.000  0.879
Te  0.000  0.000  0.121
Te  0.000  0.000  0.621



Record 18
# Mg3Te5

A crystal of Mg3Te5 relaxed with PBEsol (meta-GGA SCAN, the Alexandria database).

Properties
Fermi-level density of states ... 3.20 states/eV per cell
Energy relative to the elements, uncorrected ... -7.63 kcal/mol of atoms

abc: 3.887 3.887 14.010
angles: 90.00 90.00 90.00
Fractional coordinates of all 8 atoms:
Mg  0.500  0.500  0.136
Mg  0.000  0.000  0.500
Mg  0.500  0.500  0.864
Te  0.500  0.500  0.605
Te  0.500  0.500  0.395
Te  0.000  0.000  0.000
Te  0.000  0.000  0.218
Te  0.000  0.000  0.782



Record 19
# MgTe7

A crystal of MgTe7 relaxed with PBEsol (meta-GGA SCAN, the Alexandria database).

Properties
Fermi-level density of states ... 7.24 states/eV per cell
Energy relative to the elements, uncorrected ... 6.75 kcal/mol of atoms

abc: 6.706 6.706 6.706
angles: 60.00 60.00 60.00
Fractional coordinates of all 8 atoms:
Mg  0.000  0.000  0.000
Te  0.000  0.500  0.500
Te  0.500  0.500  0.000
Te  0.500  0.500  0.500
Te  0.500  0.000  0.000
Te  0.000  0.000  0.500
Te  0.500  0.000  0.500
Te  0.000  0.500  0.000



Record 20
# MgTe2

A crystal of MgTe2 relaxed with PBEsol (meta-GGA SCAN, the Alexandria database).

Properties
Energy relative to the elements, uncorrected ... -14.62 kcal/mol of atoms

abc: 4.402 5.742 7.037
angles: 90.00 90.00 90.00
Fractional coordinates of all 6 atoms:
Te  0.500  0.693  0.882
Te  0.000  0.807  0.382
Te  0.500  0.307  0.118
Te  0.000  0.193  0.618
Mg  0.000  0.000  0.000
Mg  0.500  0.500  0.500